{"formula": "Na2SrMoF8", "functional": "GGA+U", "state": "optimized geometry", "dft_energy_ev_per_atom": -5.1477, "dos_at_fermi_per_ev_cell": 0.00, "magmom_total_mub_per_cell": 1.983, "cell": [[4.403, 0.000, 0.000], [-0.052, 5.545, 0.000], [-0.076, -0.116, 7.541]], "species": ["Na", "Na", "Sr", "Mo", "F", "F", "F", "F", "F", "F", "F", "F"], "fractional_positions": [[0.013, 0.015, 0.238], [0.987, 0.985, 0.762], [0.500, 0.500, 0.000], [0.500, 0.500, 0.500], [0.057, 0.249, 0.993], [0.145, 0.279, 0.492], [0.362, 0.707, 0.301], [0.380, 0.718, 0.712], [0.620, 0.282, 0.288], [0.638, 0.293, 0.699], [0.855, 0.721, 0.508], [0.943, 0.751, 0.007]]}